{"formula": "TbLuSi2Pd", "functional": "GGA-PBE", "state": "optimized geometry", "cell": [[5.2130, -2.1103, 0.0000], [5.2130, 2.1103, 0.0000], [-4.6260, 0.0000, 8.8375]], "species": ["Lu", "Lu", "Pd", "Pd", "Si", "Si", "Si", "Si", "Tb", "Tb"], "frac_coords": [[0.9968, 0.9968, 0.1738], [0.0032, 0.0032, 0.8262], [0.2742, 0.2742, 0.1364], [0.7258, 0.7258, 0.8636], [0.6307, 0.6307, 0.0656], [0.5180, 0.5180, 0.3830], [0.4820, 0.4820, 0.6170], [0.3693, 0.3693, 0.9344], [0.8135, 0.8135, 0.3932], [0.1865, 0.1865, 0.6068]], "density_g_cm3": 8.480, "energy_ev_per_cell": -59.56}